{"formula": "RbLiV3", "functional": "PBE", "state": "optimized geometry", "cell": [[4.552, 0.000, 0.000], [0.000, 4.552, 0.000], [0.000, 0.000, 4.552]], "species": ["Rb", "Li", "V", "V", "V"], "frac_coords": [[0.000, 0.000, 0.000], [0.500, 0.500, 0.500], [0.000, 0.000, 0.500], [0.000, 0.500, 0.000], [0.500, 0.000, 0.000]], "formation_enthalpy_0k_ev_per_atom": 2.59, "spacegroup": "Pm-3m (221)"}

{"formula": "Rb2LiV", "functional": "PBE", "state": "optimized geometry", "cell": [[0.000, 4.506, 4.506], [4.506, 0.000, 4.506], [4.506, 4.506, 0.000]], "species": ["Rb", "Rb", "Li", "V"], "frac_coords": [[0.250, 0.250, 0.250], [0.750, 0.750, 0.750], [0.000, 0.000, 0.000], [0.500, 0.500, 0.500]], "formation_enthalpy_0k_ev_per_atom": 1.00, "spacegroup": "Fm-3m (225)"}

{"formula": "Rb3LiV", "functional": "PBE", "state": "optimized geometry", "cell": [[6.973, 0.000, 0.000], [0.000, 6.973, 0.000], [0.000, 0.000, 6.973]], "species": ["Rb", "Rb", "Rb", "Li", "V"], "frac_coords": [[0.000, 0.000, 0.500], [0.000, 0.500, 0.000], [0.500, 0.000, 0.000], [0.500, 0.500, 0.500], [0.000, 0.000, 0.000]], "formation_enthalpy_0k_ev_per_atom": 0.91, "spacegroup": "Pm-3m (221)"}

{"formula": "RbLiV3", "functional": "PBE", "state": "optimized geometry", "cell": [[5.048, 0.000, 0.000], [0.000, 5.048, 0.000], [0.000, 0.000, 5.048]], "species": ["Rb", "Li", "V", "V", "V"], "frac_coords": [[0.000, 0.000, 0.000], [0.500, 0.500, 0.500], [0.000, 0.500, 0.500], [0.500, 0.000, 0.500], [0.500, 0.500, 0.000]], "formation_enthalpy_0k_ev_per_atom": 1.71, "spacegroup": "Pm-3m (221)"}

Polymorph energy (0 for the lowest one) values, unit eV per atom, following the record order: 0.876 0.000 0.000 0.000.
Total energy values, unit eV/atom, following the record order: -3.46 -2.24 -1.88 -4.33.